[1]
Ho2Tm5Pu, relaxed, DFT PBE-GGA; ΔE_f = 158 meV per atom; DOS at the Fermi energy = 33.800 states/eV per cell; size of the total moment = 6.57 μB per formula unit; symmetry = Cmcm; energy = -5.573 eV per atom
1.0
5.473 0.000 0.000
-2.737 5.799 0.000
0.000 0.000 15.238
Tm Ho Pu
10 4 2
direct
0.471 0.942 0.750
0.529 0.058 0.250
0.080 0.160 0.093
0.621 0.243 0.549
0.379 0.757 0.451
0.920 0.840 0.907
0.080 0.160 0.407
0.379 0.757 0.049
0.920 0.840 0.593
0.621 0.243 0.951
0.217 0.435 0.636
0.783 0.565 0.364
0.783 0.565 0.136
0.217 0.435 0.864
0.255 0.510 0.250
0.745 0.490 0.750

***

[2]
Ho2Tm8Pu, relaxed, DFT PBE-GGA; ΔE_f = 124 meV per atom; DOS at the Fermi energy = 19.494 states/eV per cell; size of the total moment = 7.07 μB per formula unit; symmetry = C2/m; energy = -5.263 eV per atom
1.0
5.413 0.000 0.000
0.000 7.750 -0.229
-2.706 -3.619 8.093
Tm Pu Ho
8 1 2
direct
0.999 0.282 0.998
0.001 0.718 0.002
0.364 0.148 0.727
0.366 0.578 0.731
0.634 0.422 0.269
0.833 0.831 0.665
0.636 0.852 0.273
0.167 0.169 0.335
0.500 0.000 0.000
0.802 0.304 0.604
0.198 0.696 0.396

***

[3]
Ho6TmPu, relaxed, DFT PBE-GGA; ΔE_f = 389 meV per atom; DOS at the Fermi energy = 12.288 states/eV per cell; size of the total moment = 7.72 μB per formula unit; symmetry = C2/m; energy = -5.395 eV per atom
1.0
6.860 0.882 0.000
2.582 6.378 0.000
1.291 3.189 6.037
Ho Pu Tm
6 1 1
direct
0.252 0.512 0.440
0.748 0.048 0.440
0.741 0.736 0.000
0.259 0.264 0.000
0.748 0.488 0.560
0.252 0.952 0.560
0.500 0.500 0.000
0.000 0.000 0.000

***

[4]
HoTmPu, relaxed, DFT PBE-GGA; ΔE_f = 157 meV per atom; DOS at the Fermi energy = 20.185 states/eV per cell; size of the total moment = 6.52 μB per formula unit; symmetry = Pmmn; energy = -7.637 eV per atom
1.0
3.332 0.000 0.000
0.000 5.522 0.000
0.000 0.000 9.575
Ho Tm Pu
2 2 2
direct
0.500 0.500 0.066
0.000 0.000 0.934
0.000 0.500 0.400
0.500 0.000 0.600
0.500 0.000 0.256
0.000 0.500 0.744

***

[5]
HoTm14Pu, relaxed, DFT PBE-GGA; ΔE_f = 40 meV per atom; DOS at the Fermi energy = 26.531 states/eV per cell; size of the total moment = 6.00 μB per formula unit; symmetry = P4/mmm; energy = -5.055 eV per atom
1.0
6.893 0.981 0.000
-0.980 6.893 0.000
0.000 0.000 9.824
Tm Pu Ho
14 1 1
direct
0.625 0.875 0.000
0.877 0.627 0.251
0.125 0.375 0.500
0.877 0.123 0.749
0.125 0.375 0.000
0.877 0.123 0.251
0.625 0.375 0.000
0.373 0.627 0.749
0.125 0.875 0.000
0.373 0.123 0.251
0.373 0.627 0.251
0.877 0.627 0.749
0.625 0.875 0.500
0.373 0.123 0.749
0.125 0.875 0.500
0.625 0.375 0.500

***

[6]
Ho4Tm5Pu, relaxed, DFT PBE-GGA; ΔE_f = 273 meV per atom; DOS at the Fermi energy = 12.211 states/eV per cell; size of the total moment = 5.60 μB per formula unit; symmetry = I4mm; energy = -5.227 eV per atom
1.0
5.356 0.000 0.000
2.678 7.584 0.000
2.678 0.000 7.584
Tm Ho Pu
5 4 1
direct
0.507 0.000 0.000
0.184 0.632 0.000
0.184 0.000 0.632
0.816 0.000 0.368
0.816 0.368 0.000
0.175 0.324 0.324
0.824 0.676 0.676
0.499 0.676 0.324
0.499 0.324 0.676
0.008 0.000 0.000

***

[7]
Ho7Tm4Pu, relaxed, DFT PBE-GGA; ΔE_f = 254 meV per atom; DOS at the Fermi energy = 19.776 states/eV per cell; size of the total moment = 7.34 μB per formula unit; symmetry = C2/m; energy = -5.102 eV per atom
1.0
5.556 0.000 1.510
2.086 8.253 3.302
0.655 0.703 8.565
Ho Tm Pu
7 4 1
direct
0.939 0.719 0.404
0.832 0.342 0.994
0.292 0.881 0.535
0.500 0.000 0.000
0.168 0.658 0.006
0.061 0.281 0.596
0.708 0.119 0.465
0.589 0.548 0.273
0.263 0.265 0.210
0.737 0.735 0.790
0.411 0.452 0.727
0.000 0.000 0.000

***

[8]
HoTmPu, relaxed, DFT PBE-GGA; ΔE_f = 103 meV per atom; DOS at the Fermi energy = 7.267 states/eV per cell; size of the total moment = 6.12 μB per formula unit; symmetry = I4mm; energy = -7.691 eV per atom
1.0
3.469 0.000 0.000
0.000 3.469 0.000
-1.735 -1.735 7.334
Ho Tm Pu
1 1 1
direct
0.335 0.335 0.671
0.664 0.664 0.328
0.000 0.000 0.001

***

[9]
Ho8Tm3Pu, relaxed, DFT PBE-GGA; ΔE_f = 612 meV per atom; DOS at the Fermi energy = 15.476 states/eV per cell; size of the total moment = 4.27 μB per formula unit; symmetry = I-42m; energy = -4.752 eV per atom
1.0
8.544 0.000 0.000
-4.272 5.655 4.272
0.000 0.000 8.544
Ho Pu Tm
8 1 3
direct
0.198 0.933 0.265
0.105 0.464 0.641
0.641 0.536 0.359
0.735 0.933 0.802
0.265 0.067 0.735
0.802 0.067 0.198
0.359 0.464 0.895
0.895 0.536 0.105
0.000 0.000 0.000
0.750 0.500 0.750
0.500 0.000 0.500
0.250 0.500 0.250

***

[10]
Ho3Tm12Pu, relaxed, DFT PBE-GGA; ΔE_f = 43 meV per atom; DOS at the Fermi energy = 28.495 states/eV per cell; size of the total moment = 6.26 μB per formula unit; symmetry = P4/mmm; energy = -5.064 eV per atom
1.0
-4.484 2.057 0.087
-0.316 -0.894 4.842
8.118 17.538 3.770
Ho Tm Pu
3 12 1
direct
0.000 0.000 0.500
0.000 0.000 0.752
0.000 0.000 0.248
0.000 0.500 0.374
0.000 0.500 0.122
0.500 0.000 0.878
0.500 0.000 0.374
0.000 0.500 0.878
0.500 0.500 0.000
0.500 0.000 0.122
0.500 0.500 0.249
0.500 0.000 0.626
0.000 0.500 0.626
0.500 0.500 0.500
0.500 0.500 0.751
0.000 0.000 0.000

***

[11]
Ho4Tm2Pu, relaxed, DFT PBE-GGA; ΔE_f = 258 meV per atom; DOS at the Fermi energy = 16.262 states/eV per cell; size of the total moment = 6.35 μB per formula unit; symmetry = I-42m; energy = -5.683 eV per atom
1.0
6.106 -0.184 -3.185
-2.107 5.734 -3.185
-0.139 -0.192 6.604
Tm Ho Pu
2 4 1
direct
0.214 0.786 0.500
0.714 0.286 0.500
0.760 0.871 0.631
0.669 0.701 0.000
0.299 0.331 0.000
0.129 0.240 0.369
0.214 0.786 0.000

***

[12]
Ho3TmPu, relaxed, DFT PBE-GGA; ΔE_f = 98 meV per atom; DOS at the Fermi energy = 46.118 states/eV per cell; size of the total moment = 6.69 μB per formula unit; symmetry = P2_1/c; energy = -6.409 eV per atom
1.0
6.876 0.000 0.000
0.000 4.971 -2.010
0.000 1.165 17.151
Ho Tm Pu
12 4 4
direct
0.499 0.393 0.893
0.250 0.198 0.698
0.999 0.607 0.607
0.250 0.198 0.198
0.750 0.802 0.302
0.501 0.607 0.107
0.750 0.802 0.802
0.249 0.802 0.802
0.751 0.198 0.198
0.001 0.393 0.393
0.749 0.198 0.698
0.251 0.802 0.302
0.001 0.608 0.107
0.499 0.608 0.607
0.501 0.392 0.393
0.999 0.392 0.893
0.748 0.000 0.500
0.252 0.000 0.500
0.248 0.000 0.000
0.752 0.000 0.000

***

[13]
Ho8Tm3Pu2, relaxed, DFT PBE-GGA; ΔE_f = 289 meV per atom; DOS at the Fermi energy = 29.955 states/eV per cell; size of the total moment = 14.50 μB per formula unit; symmetry = Cmmm; energy = -5.765 eV per atom
1.0
0.087 -4.822 2.862
7.048 1.062 1.576
-6.135 4.387 7.570
Tm Ho Pu
3 8 2
direct
0.000 0.729 0.000
0.500 0.000 0.000
0.000 0.271 0.000
0.000 0.859 0.717
0.500 0.608 0.776
0.500 0.392 0.224
0.500 0.169 0.776
0.000 0.141 0.283
0.000 0.676 0.352
0.000 0.324 0.648
0.500 0.831 0.224
0.500 0.243 0.486
0.500 0.757 0.514

***

[14]
Ho12Tm3Pu, relaxed, DFT PBE-GGA; ΔE_f = 42 meV per atom; DOS at the Fermi energy = 27.679 states/eV per cell; size of the total moment = 6.21 μB per formula unit; symmetry = P4/mmm; energy = -5.126 eV per atom
1.0
-2.081 4.006 -2.062
-3.777 -2.790 -1.608
-9.816 3.576 16.854
Ho Tm Pu
12 3 1
direct
0.500 0.000 0.877
0.500 0.000 0.626
0.500 0.500 0.500
0.000 0.500 0.374
0.000 0.500 0.626
0.000 0.500 0.877
0.500 0.000 0.123
0.500 0.500 0.000
0.000 0.500 0.123
0.500 0.000 0.374
0.500 0.500 0.250
0.500 0.500 0.750
0.000 0.000 0.249
0.000 0.000 0.500
0.000 0.000 0.751
0.000 0.000 0.000

***

[15]
HoTm2Pu, relaxed, DFT PBE-GGA; ΔE_f = 133 meV per atom; DOS at the Fermi energy = 15.818 states/eV per cell; size of the total moment = 6.32 μB per formula unit; symmetry = P4/mmm; energy = -6.831 eV per atom
1.0
-2.244 -0.979 4.266
0.772 -4.797 -0.695
4.299 0.353 2.343
Ho Tm Pu
1 2 1
direct
0.500 0.500 0.500
0.000 0.000 0.500
0.000 0.500 0.000
0.500 0.000 0.000

***

[16]
Ho2Tm5Pu, relaxed, DFT PBE-GGA; ΔE_f = 64 meV per atom; DOS at the Fermi energy = 18.495 states/eV per cell; size of the total moment = 6.22 μB per formula unit; symmetry = I4/mmm; energy = -5.667 eV per atom
1.0
-6.120 -3.226 0.670
2.582 1.262 -6.328
5.867 -3.291 1.749
Ho Tm Pu
2 5 1
direct
0.500 0.222 0.722
0.500 0.722 0.222
0.000 0.722 0.722
0.000 0.222 0.722
0.500 0.222 0.222
0.000 0.722 0.222
0.500 0.722 0.722
0.000 0.222 0.222

***

[17]
HoTm4Pu, relaxed, DFT PBE-GGA; ΔE_f = 40 meV per atom; DOS at the Fermi energy = 24.425 states/eV per cell; size of the total moment = 6.00 μB per formula unit; symmetry = Cmc2_1; energy = -6.092 eV per atom
1.0
3.484 0.000 0.000
-1.742 9.051 0.000
0.000 0.000 11.258
Tm Pu Ho
8 2 2
direct
0.444 0.888 0.518
0.999 0.998 0.270
0.001 0.002 0.770
0.111 0.222 0.522
0.333 0.665 0.768
0.667 0.335 0.268
0.889 0.778 0.022
0.556 0.112 0.018
0.666 0.333 0.768
0.334 0.667 0.268
0.222 0.443 0.015
0.778 0.557 0.515

***

[18]
Ho5Tm8Pu, relaxed, DFT PBE-GGA; ΔE_f = 304 meV per atom; DOS at the Fermi energy = 23.459 states/eV per cell; size of the total moment = 5.46 μB per formula unit; symmetry = I-4; energy = -4.910 eV per atom
1.0
7.721 0.000 -2.987
-3.695 6.921 -2.643
-0.330 0.000 8.272
Ho Tm Pu
5 8 1
direct
0.795 0.757 0.710
0.290 0.085 0.047
0.953 0.243 0.037
0.963 0.915 0.205
0.500 0.000 0.500
0.359 0.391 0.453
0.780 0.304 0.407
0.061 0.609 0.968
0.593 0.373 0.897
0.103 0.696 0.475
0.525 0.627 0.220
0.032 0.093 0.641
0.547 0.907 0.939
0.250 0.500 0.750

***

[19]
Ho5Tm6Pu, relaxed, DFT PBE-GGA; ΔE_f = 127 meV per atom; DOS at the Fermi energy = 22.313 states/eV per cell; size of the total moment = 7.38 μB per formula unit; symmetry = Immm; energy = -5.210 eV per atom
1.0
10.518 0.959 -0.968
-4.729 9.444 -0.968
-0.259 -0.465 3.609
Tm Ho Pu
6 5 1
direct
0.585 0.919 0.752
0.919 0.585 0.752
0.415 0.081 0.248
0.241 0.241 0.740
0.081 0.415 0.248
0.759 0.759 0.260
0.850 0.150 0.500
0.500 0.500 0.500
0.150 0.850 0.500
0.683 0.317 0.000
0.317 0.683 0.000
0.000 0.000 0.000

***

[20]
Ho5TmPu, relaxed, DFT PBE-GGA; ΔE_f = 184 meV per atom; DOS at the Fermi energy = 26.058 states/eV per cell; size of the total moment = 0.16 μB per formula unit; symmetry = P-1; energy = -5.772 eV per atom
1.0
7.456 -0.172 -0.427
-3.778 4.552 -1.180
-0.234 3.262 11.985
Ho Tm Pu
10 2 2
direct
0.008 0.868 0.242
0.521 0.296 0.090
0.501 0.574 0.633
0.200 0.556 0.140
0.479 0.704 0.910
0.800 0.444 0.860
0.499 0.426 0.367
0.239 0.704 0.430
0.992 0.132 0.758
0.761 0.296 0.570
0.733 0.116 0.293
0.267 0.884 0.707
0.000 0.000 0.500
0.000 0.000 0.000

***

[21]
HoTmPu, relaxed, DFT PBE-GGA; ΔE_f = 176 meV per atom; DOS at the Fermi energy = 7.465 states/eV per cell; size of the total moment = 5.74 μB per formula unit; symmetry = P-6m2; energy = -7.618 eV per atom
1.0
-3.075 -1.047 -0.293
0.513 0.044 -5.537
1.287 -4.583 2.876
Tm Pu Ho
1 1 1
direct
0.167 0.667 0.333
0.667 0.333 0.667
0.166 0.000 0.000